An optimized crystal structure of DySc4P5. Source: Alexandria via LeMat-Bulk, functional PBE.

Lattice parameters (Å, degrees): 3.8068 5.4017 10.0675 105.56 100.90 90.00
With the nearest neighbours (Å) after each atom.
Fractional positions:
Dy 0.0000 0.0000 0.0000  6 P 2.70-2.77
Sc 0.3988 0.3988 0.7975  6 P 2.67-2.71
Sc 0.7975 0.7975 0.5949  6 P 2.65-2.70
Sc 0.2025 0.2025 0.4051  6 P 2.65-2.70
Sc 0.6012 0.6012 0.2025  6 P 2.67-2.71
P 0.6059 0.1059 0.2117  4 Sc 2.65-2.70, 2 Dy 2.77
P 0.8005 0.3005 0.6010  6 Sc 2.66-2.70
P 0.1995 0.6995 0.3990  6 Sc 2.66-2.70
P 0.0000 0.5000 0.0000  2 Dy 2.70, 4 Sc 2.71
P 0.3941 0.8941 0.7883  4 Sc 2.65-2.70, 2 Dy 2.77

Computed properties:
As for the energy of formation from the pure elements: -1.497 eV per atom. The space-group type is Immm, No. 71. Its total moment is 0.00 Bohr magnetons per cell.